Record 1
{"formula": "PrCu3Sn2", "functional": "PBE", "state": "relaxed", "lattice": [[4.407, 0.000, 0.000], [-2.204, 8.168, 0.211], [0.000, -3.473, 6.695]], "species": ["Sn", "Sn", "Sn", "Sn", "Pr", "Pr", "Cu", "Cu", "Cu", "Cu", "Cu", "Cu"], "frac_coords": [[0.185, 0.370, 0.683], [0.471, 0.942, 0.792], [0.529, 0.058, 0.208], [0.815, 0.630, 0.317], [0.150, 0.299, 0.094], [0.850, 0.701, 0.906], [0.587, 0.174, 0.631], [0.413, 0.826, 0.369], [0.700, 0.400, 0.474], [0.999, 0.999, 0.341], [0.300, 0.600, 0.526], [0.001, 0.001, 0.659]], "formation_enthalpy_0k_ev_per_atom": -0.293, "e_tot_ev_per_fu": -26.83, "crystal_system": "monoclinic", "rho_g_cm3": 7.74}



Record 2
{"formula": "Pr2CuSn", "functional": "PBE", "state": "relaxed", "lattice": [[-0.481, -3.533, 0.282], [2.810, -2.152, 0.514], [-0.408, -0.877, 10.996]], "species": ["Pr", "Pr", "Cu", "Sn"], "frac_coords": [[0.100, 0.100, 0.700], [0.900, 0.900, 0.300], [0.500, 0.500, 0.500], [0.000, 0.000, 0.000]], "formation_enthalpy_0k_ev_per_atom": 0.122, "e_tot_ev_per_fu": -17.17, "crystal_system": "trigonal", "rho_g_cm3": 6.42}



Record 3
{"formula": "Pr3Cu3Sn4", "functional": "PBE", "state": "relaxed", "lattice": [[-7.862, 3.278, -0.457], [-0.497, -8.382, 1.505], [4.292, 3.776, 6.332]], "species": ["Sn", "Sn", "Sn", "Sn", "Sn", "Sn", "Sn", "Sn", "Pr", "Pr", "Pr", "Pr", "Pr", "Pr", "Cu", "Cu", "Cu", "Cu", "Cu", "Cu"], "frac_coords": [[0.500, 0.345, 0.500], [0.345, 0.500, 0.000], [0.155, 0.655, 0.655], [0.000, 0.000, 0.345], [0.845, 0.500, 0.000], [0.000, 0.000, 0.845], [0.500, 0.845, 0.500], [0.655, 0.155, 0.155], [0.750, 0.625, 0.375], [0.375, 0.125, 0.750], [0.250, 0.875, 0.125], [0.875, 0.250, 0.625], [0.125, 0.375, 0.250], [0.625, 0.750, 0.875], [0.875, 0.625, 0.750], [0.750, 0.125, 0.875], [0.375, 0.250, 0.125], [0.625, 0.875, 0.250], [0.250, 0.375, 0.625], [0.125, 0.750, 0.375]], "formation_enthalpy_0k_ev_per_atom": -0.532, "e_tot_ev_per_fu": -47.95, "crystal_system": "cubic", "rho_g_cm3": 7.56}



Record 4
{"formula": "Pr3Cu4Sn", "functional": "PBE", "state": "relaxed", "lattice": [[-2.678, 0.310, 3.906], [3.875, -1.041, 2.739], [1.219, 8.675, -2.736]], "species": ["Pr", "Pr", "Pr", "Cu", "Cu", "Cu", "Cu", "Sn"], "frac_coords": [[0.203, 0.203, 0.406], [0.797, 0.797, 0.594], [0.000, 0.500, 0.000], [0.633, 0.393, 0.267], [0.633, 0.873, 0.267], [0.367, 0.607, 0.733], [0.367, 0.127, 0.733], [0.500, 0.000, 0.000]], "formation_enthalpy_0k_ev_per_atom": -0.104, "e_tot_ev_per_fu": -35.56, "crystal_system": "orthorhombic", "rho_g_cm3": 6.72}



Record 5
{"formula": "Pr2Cu3Sn6", "functional": "PBE", "state": "relaxed", "lattice": [[-8.223, -3.898, -9.724], [-3.920, -8.595, -9.387], [4.254, 4.736, 11.697]], "species": ["Sn", "Sn", "Sn", "Sn", "Sn", "Sn", "Cu", "Cu", "Cu", "Pr", "Pr"], "frac_coords": [[0.530, 0.530, 0.000], [0.289, 0.789, 0.500], [0.138, 0.138, 0.000], [0.401, 0.901, 0.500], [0.901, 0.401, 0.500], [0.789, 0.289, 0.500], [0.587, 0.087, 0.500], [0.087, 0.587, 0.500], [0.236, 0.236, 0.000], [0.684, 0.684, 0.000], [0.997, 0.997, 0.000]], "formation_enthalpy_0k_ev_per_atom": -0.379, "e_tot_ev_per_fu": -50.03, "crystal_system": "tetragonal", "rho_g_cm3": 7.48}



Record 6
{"formula": "Pr2CuSn", "functional": "PBE", "state": "relaxed", "lattice": [[3.628, 0.000, 0.000], [0.000, 3.628, 0.000], [0.000, 0.000, 8.063]], "species": ["Sn", "Cu", "Pr", "Pr"], "frac_coords": [[0.500, 0.500, 0.500], [0.500, 0.500, 0.000], [0.000, 0.000, 0.772], [0.000, 0.000, 0.228]], "formation_enthalpy_0k_ev_per_atom": -0.396, "e_tot_ev_per_fu": -19.24, "crystal_system": "tetragonal", "rho_g_cm3": 7.26}



Record 7
{"formula": "PrCu3Sn3", "functional": "PBE", "state": "relaxed", "lattice": [[7.037, 0.000, 0.000], [3.519, 6.094, 0.000], [3.519, 2.031, 7.436]], "species": ["Sn", "Sn", "Sn", "Sn", "Sn", "Sn", "Pr", "Pr", "Cu", "Cu", "Cu", "Cu", "Cu", "Cu"], "frac_coords": [[0.124, 0.613, 0.284], [0.978, 0.124, 0.284], [0.022, 0.876, 0.716], [0.876, 0.387, 0.716], [0.387, 0.022, 0.716], [0.613, 0.978, 0.284], [0.338, 0.338, 0.985], [0.662, 0.662, 0.015], [0.774, 0.521, 0.369], [0.663, 0.226, 0.631], [0.479, 0.663, 0.631], [0.521, 0.337, 0.369], [0.226, 0.479, 0.631], [0.337, 0.774, 0.369]], "de_polymorph_ev_per_fu": 0.00, "formation_enthalpy_0k_ev_per_atom": -0.091, "e_tot_ev_per_fu": -29.71, "crystal_system": "trigonal", "rho_g_cm3": 7.16}



Record 8
{"formula": "Pr12Cu5Sn", "functional": "PBE", "state": "relaxed", "lattice": [[8.101, -0.207, -3.460], [-4.174, 7.431, -2.238], [-0.350, 0.207, 8.802]], "species": ["Pr", "Pr", "Pr", "Pr", "Pr", "Pr", "Pr", "Pr", "Pr", "Pr", "Pr", "Pr", "Cu", "Cu", "Cu", "Cu", "Cu", "Sn"], "frac_coords": [[0.102, 0.814, 0.289], [0.811, 0.589, 0.778], [0.189, 0.411, 0.222], [0.898, 0.186, 0.711], [0.697, 0.680, 0.377], [0.189, 0.967, 0.778], [0.475, 0.186, 0.289], [0.811, 0.033, 0.222], [0.303, 0.320, 0.623], [0.525, 0.814, 0.711], [0.697, 0.320, 0.018], [0.303, 0.680, 0.982], [0.500, 0.884, 0.384], [0.361, 0.361, 0.000], [0.000, 0.000, 0.000], [0.639, 0.639, 0.000], [0.500, 0.116, 0.616], [0.000, 0.500, 0.500]], "formation_enthalpy_0k_ev_per_atom": -0.155, "e_tot_ev_per_fu": -84.63, "crystal_system": "orthorhombic", "rho_g_cm3": 6.80}